[1]
A plane-wave DFT calculation with GGA-PBE was carried out for an optimized crystal structure of KCdPb2.

## Properties
As for the volume: 31.12 A^3/atom. The value obtained for the energy is -9.36 eV per cell. The total magnetization is 0.000 μB per atom.

abc: 6.400 6.400 3.334
angles: 90.00 90.00 114.32
Element x y z (fractional)
K1 0.000 0.000 0.000
Cd1 0.500 0.500 0.000
Pb1 0.000 0.500 0.500
Pb2 0.500 0.000 0.500

[2]
A plane-wave DFT calculation with GGA-PBE was carried out for an optimized crystal structure of Er3AuN.

## Properties
As for the volume: 20.78 A^3/atom. The value obtained for the energy is -30.32 eV per cell. The total magnetization is 0.002 μB per atom.

abc: 4.701 4.701 4.701
angles: 90.00 90.00 90.00
Element x y z (fractional)
Er1 0.000 0.000 0.500
Er2 0.000 0.500 0.000
Er3 0.500 0.000 0.000
Au1 0.500 0.500 0.500
N1 0.000 0.000 0.000

[3]
A plane-wave DFT calculation with GGA-PBE was carried out for an optimized crystal structure of Dy2Y8Th3.

## Properties
As for the offset from the most stable computed form: 0 meV per atom. As for the volume: 32.98 A^3/atom. The total magnetization is 0.000 μB per atom.

abc: 11.698 20.993 3.492
angles: 90.00 90.00 90.00
Element x y z (fractional)
Dy1 0.176 0.099 0.000
Dy2 0.324 0.599 0.000
Dy3 0.676 0.401 0.000
Dy4 0.824 0.901 0.000
Y1 0.042 0.573 0.000
Y2 0.059 0.841 0.500
Y3 0.133 0.286 0.000
Y4 0.212 0.451 0.500
Y5 0.288 0.951 0.500
Y6 0.367 0.786 0.000
Y7 0.441 0.341 0.500
Y8 0.458 0.073 0.000
Y9 0.542 0.927 0.000
Y10 0.559 0.659 0.500
Y11 0.633 0.214 0.000
Y12 0.712 0.049 0.500
Y13 0.788 0.549 0.500
Y14 0.867 0.714 0.000
Y15 0.941 0.159 0.500
Y16 0.958 0.427 0.000
Th1 0.000 0.000 0.500
Th2 0.141 0.700 0.500
Th3 0.359 0.200 0.500
Th4 0.500 0.500 0.500
Th5 0.641 0.800 0.500
Th6 0.859 0.300 0.500

[4]
A plane-wave DFT calculation with GGA-PBE was carried out for an optimized crystal structure of Mn2CdCuPb.

## Properties
As for the volume: 30.14 A^3/atom. The value obtained for the energy is -20.55 eV per cell. The total magnetization is 1.760 μB per atom.

abc: 5.205 5.205 5.563
angles: 90.00 90.00 90.00
Element x y z (fractional)
Mn1 0.000 0.500 0.000
Mn2 0.500 0.000 0.000
Cd1 0.000 0.000 0.500
Cu1 0.500 0.500 0.500
Pb1 0.000 0.000 0.000

[5]
A plane-wave DFT calculation with GGA-PBE was carried out for an optimized crystal structure of PrDy2Tl.

## Properties
As for the offset from the most stable computed form: 0 meV per atom. As for the volume: 29.64 A^3/atom. The total magnetization is 0.017 μB per atom.

abc: 4.943 4.943 4.853
angles: 90.00 90.00 90.00
Element x y z (fractional)
Pr1 0.000 0.000 0.000
Dy1 0.000 0.500 0.500
Dy2 0.500 0.000 0.500
Tl1 0.500 0.500 0.000

[6]
A plane-wave DFT calculation with GGA-PBE was carried out for an optimized crystal structure of Ga6Cu5.

## Properties
As for the offset from the most stable computed form: 0 meV per atom. As for the volume: 14.75 A^3/atom. The total magnetization is 0.000 μB per atom.

abc: 7.378 7.378 4.256
angles: 106.68 106.68 120.68
Element x y z (fractional)
Ga1 0.081 0.394 0.737
Ga2 0.228 0.228 0.226
Ga3 0.394 0.081 0.737
Ga4 0.606 0.919 0.263
Ga5 0.772 0.772 0.774
Ga6 0.919 0.606 0.263
Cu1 0.178 0.822 0.000
Cu2 0.333 0.667 0.500
Cu3 0.500 0.500 0.000
Cu4 0.667 0.333 0.500
Cu5 0.822 0.178 0.000

[7]
A plane-wave DFT calculation with GGA-PBE was carried out for an optimized crystal structure of LaSc2TlB.

## Properties
As for the volume: 23.75 A^3/atom. The value obtained for the energy is -27.73 eV per cell. The total magnetization is 0.000 μB per atom.

abc: 4.851 4.851 5.047
angles: 90.00 90.00 90.00
Element x y z (fractional)
La1 0.000 0.000 0.000
Sc1 0.000 0.500 0.500
Sc2 0.500 0.000 0.500
Tl1 0.500 0.500 0.000
B1 0.000 0.000 0.500

[8]
A plane-wave DFT calculation with GGA-PBE was carried out for an optimized crystal structure of Na2SrOsCl8.

## Properties
As for the volume: 28.43 A^3/atom. The value obtained for the energy is -46.34 eV per cell. The total magnetization is 0.167 μB per atom.

abc: 6.336 8.353 6.447
angles: 90.00 90.05 90.00
Element x y z (fractional)
Na1 0.000 0.245 0.000
Na2 0.000 0.755 0.000
Sr1 0.500 0.000 0.500
Os1 0.500 0.500 0.500
Cl1 0.219 0.000 0.833
Cl2 0.283 0.500 0.790
Cl3 0.287 0.298 0.347
Cl4 0.287 0.702 0.347
Cl5 0.713 0.298 0.653
Cl6 0.713 0.702 0.653
Cl7 0.717 0.500 0.210
Cl8 0.781 0.000 0.167

[9]
A plane-wave DFT calculation with GGA-PBE was carried out for an optimized crystal structure of Pu2UIr.

## Properties
As for the offset from the most stable computed form: 0 meV per atom. As for the volume: 19.70 A^3/atom. The total magnetization is 0.238 μB per atom.

abc: 4.745 4.769 6.966
angles: 90.00 90.00 90.00
Element x y z (fractional)
Pu1 0.250 0.250 0.000
Pu2 0.250 0.250 0.499
Pu3 0.750 0.750 0.000
Pu4 0.750 0.750 0.501
U1 0.250 0.750 0.796
U2 0.750 0.250 0.204
Ir1 0.250 0.750 0.259
Ir2 0.750 0.250 0.741

[10]
A plane-wave DFT calculation with GGA-PBE was carried out for an optimized crystal structure of OsAuSe2.

## Properties
As for the offset from the most stable computed form: 0 meV per atom. As for the volume: 21.53 A^3/atom. The total magnetization is 0.000 μB per atom.

abc: 3.844 3.844 8.123
angles: 107.19 107.19 49.34
Element x y z (fractional)
Os1 0.000 0.000 0.000
Au1 0.500 0.500 0.500
Se1 0.367 0.367 0.176
Se2 0.633 0.633 0.824

[11]
A plane-wave DFT calculation with GGA-PBE was carried out for an optimized crystal structure of PuCdInBi.

## Properties
As for the offset from the most stable computed form: 0 meV per atom. As for the volume: 26.61 A^3/atom. The total magnetization is 1.453 μB per atom.

abc: 4.538 4.632 5.064
angles: 90.00 90.00 90.00
Element x y z (fractional)
Pu1 0.000 0.000 0.000
Cd1 0.000 0.500 0.500
In1 0.500 0.000 0.500
Bi1 0.500 0.500 0.000

[12]
A plane-wave DFT calculation with GGA-PBE was carried out for an optimized crystal structure of Zr5Hg2Bi.

## Properties
As for the volume: 22.34 A^3/atom. The value obtained for the energy is -48.78 eV per cell. The total magnetization is 0.000 μB per atom.

abc: 9.049 9.049 9.049
angles: 150.54 150.54 42.14
Element x y z (fractional)
Zr1 0.000 0.000 0.000
Zr2 0.126 0.626 0.500
Zr3 0.374 0.874 0.500
Zr4 0.626 0.126 0.500
Zr5 0.874 0.374 0.500
Hg1 0.248 0.248 0.000
Hg2 0.752 0.752 0.000
Bi1 0.500 0.500 0.000

[13]
A plane-wave DFT calculation with GGA-PBE was carried out for an optimized crystal structure of K2DyHoS4.

## Properties
As for the volume: 26.07 A^3/atom. The value obtained for the energy is -43.00 eV per cell. The total magnetization is 0.000 μB per atom.

abc: 7.003 4.043 7.725
angles: 90.00 107.56 90.00
Element x y z (fractional)
K1 0.000 0.000 0.000
K2 0.500 0.500 0.000
Dy1 0.000 0.500 0.500
Ho1 0.500 0.000 0.500
S1 0.235 0.000 0.701
S2 0.267 0.500 0.299
S3 0.733 0.500 0.701
S4 0.765 0.000 0.299